(1)
This record from Alexandria via LeMat-Bulk describes a geometry-optimized Te4IrPt structure. The functional is GGA-PBE.

Summary:
VASP energy in eV/atom: -4.941
Space-group type: P2/m (10)
D(E_F) in states/eV per atom: 0.270
Size of the total moment in Bohr magnetons per cell: 0.0
E_form (uncorrected) in kJ/mol of formula units: -210

Lattice parameters (Å, degrees): 5.3755 4.0537 7.0207 90.00 90.06 90.00
Fractional coordinates of all 6 atoms:
Te: 0.2490 0.0000 0.1602
Te: 0.2513 0.5000 0.6714
Te: 0.7487 0.5000 0.3286
Te: 0.7510 0.0000 0.8398
Ir: 0.5000 0.5000 0.0000
Pt: 0.5000 0.0000 0.5000

(2)
This record from Alexandria via LeMat-Bulk describes a geometry-optimized TeIr2Pt structure. The functional is GGA-PBE.

Summary:
VASP energy in eV/atom: -6.345
Space-group type: Pmm2 (25)
D(E_F) in states/eV per atom: 1.285
Size of the total moment in Bohr magnetons per cell: 0.0
E_form (uncorrected) in kJ/mol of formula units: 147

Lattice parameters (Å, degrees): 2.9760 3.9294 5.8166 90.00 90.00 90.00
Fractional coordinates of all 4 atoms:
Te: 0.0000 0.0000 0.0000
Ir: 0.0000 0.0000 0.4725
Ir: 0.5000 0.5000 0.2436
Pt: 0.5000 0.5000 0.7064

(3)
This record from Alexandria via LeMat-Bulk describes a geometry-optimized TeIr2Pt structure. The functional is GGA-PBE.

Summary:
VASP energy in eV/atom: -6.343
Space-group type: I4/mmm (139)
D(E_F) in states/eV per atom: 1.189
Size of the total moment in Bohr magnetons per cell: 0.0
E_form (uncorrected) in kJ/mol of formula units: 148

Lattice parameters (Å, degrees): 4.2346 4.2346 7.4444 90.00 90.00 90.00
Fractional coordinates of all 8 atoms:
Te: 0.0000 0.0000 0.0000
Te: 0.5000 0.5000 0.5000
Ir: 0.0000 0.5000 0.2500
Ir: 0.0000 0.5000 0.7500
Ir: 0.5000 0.0000 0.2500
Ir: 0.5000 0.0000 0.7500
Pt: 0.0000 0.0000 0.5000
Pt: 0.5000 0.5000 0.0000